Density functional theory data (PBE-GGA) for ThGa3Pd3 after structural relaxation.

## Properties
ΔH_f (0 K) in meV per atom: -584
Crystal system: trigonal

```
ThGa3Pd3
1.0
-3.973 -3.963 4.038
-4.647 -4.262 -2.836
1.492 -7.349 0.173
Pd Th Ga
6 2 6
Direct
0.073 0.824 0.797
0.927 0.176 0.203
0.306 0.073 0.797
0.824 0.306 0.797
0.694 0.927 0.203
0.176 0.694 0.203
0.660 0.660 0.019
0.340 0.340 0.981
0.895 0.463 0.383
0.258 0.895 0.383
0.105 0.537 0.617
0.463 0.258 0.383
0.537 0.742 0.617
0.742 0.105 0.617
```